Record 1
Entry from Alexandria: a relaxed Y2HoGa2Cu2 crystal (PBE).

The structure belongs to space group R-3m (No. 166, hexagonal axes); the cell edges are 4.3576, 4.3576 and 27.7901 Å and the angles 90.00°, 90.00° and 120.00°. Symmetry generates all atoms from Y at (0.0000, 0.0000, 0.1231), Ho at (0.0000, 0.0000, 0.0000), Ga at (0.0000, 0.0000, 0.2654) and Cu at (0.0000, 0.0000, 0.3958).

Its formation energy is -2.87 eV per formula unit.

***

Record 2
Entry from Alexandria: a relaxed RbBe4Nb3O12 crystal (PBE).

The structure belongs to space group R32 (No. 155, hexagonal axes); the cell edges are 10.2915, 10.2915 and 7.9428 Å and the angles 90.00°, 90.00° and 120.00°. Symmetry generates all atoms from Rb at (0.0000, 0.0000, 0.0000), Be at (0.0000, 0.0000, 0.5000), Be at (0.0000, 0.4478, 0.5000), Nb at (0.0000, 0.5488, 0.0000), O at (0.0000, 0.5974, 0.5000), O at (0.0000, 0.8467, 0.5000) and O at (0.0368, 0.2274, 0.2095).

The raw formation energy comes out at -2.507 eV per atom.